First-principles (PBE) data for BeSn2H after structural relaxation, as listed in Alexandria via LeMat-Bulk.

As for the total energy: -3.25 eV/atom. The value obtained for the total magnetic moment is 0.0 Bohr magnetons per cell. The density is 5.456 g/cm3. As for the density of states at the Fermi level: 3.7 states/eV/cell.

Cell lengths 7.5239, 7.5239, 7.5239 Å; angles 143.38, 143.38, 52.75 degrees
Last column: nearest neighbours and their distance in Å.
Atoms (fractional coordinates):
1 Be 0.0000 0.0000 0.0000  4 Sn 2.48
2 Be 0.7500 0.2500 0.5000  4 Sn 2.48
3 Sn 0.1661 0.6250 0.0411  2 H 2.28, 2 Be 2.48
4 Sn 0.3750 0.4161 0.5411  2 H 2.28, 2 Be 2.48
5 Sn 0.5839 0.1250 0.9589  2 H 2.28, 2 Be 2.48
6 Sn 0.8750 0.8339 0.4589  2 H 2.28, 2 Be 2.48
7 H 0.2500 0.7500 0.5000  4 Sn 2.28
8 H 0.5000 0.5000 0.0000  4 Sn 2.28